Record 1
Here is a relaxed CrTc2Te crystal from Alexandria via LeMat-Bulk. Energies are from PBE.

Structure (POSCAR):
```
CrTc2Te
1.0
-1.910 1.910 9.721
1.910 -1.910 9.721
1.910 1.910 -9.721
Cr Tc Te
2 4 2
direct
0.000 0.000 0.000 Cr
0.750 0.250 0.500 Cr
0.073 0.625 0.948 Tc
0.375 0.323 0.448 Tc
0.677 0.125 0.052 Tc
0.875 0.927 0.552 Tc
0.250 0.750 0.500 Te
0.500 0.500 0.000 Te
```

Output
ΔE_f (raw): 0.65 eV per atom
SG: I-42d

Record 2
Here is a relaxed CrTc2Te crystal from Alexandria via LeMat-Bulk. Energies are from PBE.

Structure (POSCAR):
```
CrTc2Te
1.0
3.084 0.000 0.000
0.000 3.084 0.000
0.000 0.000 6.536
Cr Tc Te
1 2 1
direct
0.000 0.000 0.000 Cr
0.500 0.500 0.225 Tc
0.500 0.500 0.775 Tc
0.000 0.000 0.500 Te
```

Output
ΔE_f (raw): 0.30 eV per atom
SG: P4/mmm

Record 3
Here is a relaxed CrTcTe2 crystal from Alexandria via LeMat-Bulk. Energies are from PBE.

Structure (POSCAR):
```
CrTcTe2
1.0
4.730 0.000 0.000
0.000 4.730 0.000
0.000 0.000 3.358
Cr Tc Te
1 1 2
direct
0.000 0.000 0.000 Cr
0.500 0.500 0.000 Tc
0.000 0.500 0.500 Te
0.500 0.000 0.500 Te
```

Output
Offset from the most stable computed form: 343 meV per atom
ΔE_f (raw): 0.35 eV per atom
SG: P4/mmm

Record 4
Here is a relaxed Cr4TcTe crystal from Alexandria via LeMat-Bulk. Energies are from PBE.

Structure (POSCAR):
```
Cr4TcTe
1.0
0.000 3.433 3.433
3.433 0.000 3.433
3.433 3.433 0.000
Cr Tc Te
4 1 1
direct
0.123 0.123 0.123 Cr
0.123 0.123 0.630 Cr
0.123 0.630 0.123 Cr
0.630 0.123 0.123 Cr
0.500 0.500 0.500 Tc
0.750 0.750 0.750 Te
```

Output
ΔE_f (raw): 0.38 eV per atom
SG: F-43m

Record 5
Here is a relaxed CrTcTe3 crystal from Alexandria via LeMat-Bulk. Energies are from PBE.

Structure (POSCAR):
```
CrTcTe3
1.0
5.059 0.000 0.000
0.000 5.059 0.000
0.000 0.000 5.059
Cr Tc Te
1 1 3
direct
0.000 0.000 0.000 Cr
0.500 0.500 0.500 Tc
0.000 0.000 0.500 Te
0.000 0.500 0.000 Te
0.500 0.000 0.000 Te
```

Output
Offset from the most stable computed form: 0 meV per atom
ΔE_f (raw): 1.13 eV per atom
SG: Pm-3m

Record 6
Here is a relaxed CrTc2Te crystal from Alexandria via LeMat-Bulk. Energies are from PBE.

Structure (POSCAR):
```
CrTc2Te
1.0
-1.605 2.197 4.423
1.605 -2.197 4.423
1.605 2.197 -4.423
Cr Tc Te
1 2 1
direct
0.000 0.000 0.000 Cr
0.484 0.484 0.000 Tc
0.750 0.250 0.500 Tc
0.240 0.740 0.500 Te
```

Output
ΔE_f (raw): 0.39 eV per atom
SG: Imm2

Record 7
Here is a relaxed CrTc2TeW crystal from Alexandria via LeMat-Bulk. Energies are from PBE.

Structure (POSCAR):
```
CrTc2TeW
1.0
4.409 0.000 0.000
0.000 4.409 0.000
0.000 0.000 4.703
Cr Tc Te W
1 2 1 1
direct
0.000 0.000 0.000 Cr
0.000 0.500 0.000 Tc
0.500 0.000 0.000 Tc
0.000 0.000 0.500 Te
0.500 0.500 0.500 W
```

Output
ΔE_f (raw): 1.61 eV per atom
SG: P4/mmm

Record 8
Here is a relaxed ThCrTc crystal from Alexandria via LeMat-Bulk. Energies are from PBE.

Structure (POSCAR):
```
ThCrTc
1.0
0.000 4.388 4.673
2.658 0.000 4.673
2.658 4.388 0.000
Th Cr Tc
2 2 2
direct
0.160 0.160 0.840 Th
0.840 0.840 0.160 Th
0.250 0.250 0.250 Cr
0.750 0.750 0.750 Cr
0.355 0.645 0.355 Tc
0.645 0.355 0.645 Tc
```

Output
VASP energy: -8.727 eV per atom
SG: Fmmm

Record 9
Here is a relaxed Ti4Cr2Tc crystal from Alexandria via LeMat-Bulk. Energies are from PBE.

Structure (POSCAR):
```
Ti4Cr2Tc
1.0
-2.297 2.297 6.365
2.297 -2.297 6.365
2.297 2.297 -6.365
Ti Cr Tc
4 2 1
direct
0.000 0.500 0.500 Ti
0.195 0.195 0.000 Ti
0.500 0.000 0.500 Ti
0.805 0.805 0.000 Ti
0.383 0.383 0.000 Cr
0.617 0.617 0.000 Cr
0.000 0.000 0.000 Tc
```

Output
VASP energy: -7.936 eV per atom
SG: I4/mmm

Record 10
Here is a relaxed TiCr3Tc3 crystal from Alexandria via LeMat-Bulk. Energies are from PBE.

Structure (POSCAR):
```
TiCr3Tc3
1.0
3.344 1.931 5.304
-3.344 1.931 5.304
0.000 -3.861 5.304
Ti Cr Tc
2 6 6
direct
0.147 0.147 0.147 Ti
0.853 0.853 0.853 Ti
0.071 0.541 0.238 Cr
0.238 0.071 0.541 Cr
0.459 0.762 0.929 Cr
0.541 0.238 0.071 Cr
0.762 0.929 0.459 Cr
0.929 0.459 0.762 Cr
0.200 0.686 0.407 Tc
0.314 0.593 0.800 Tc
0.407 0.200 0.686 Tc
0.593 0.800 0.314 Tc
0.686 0.407 0.200 Tc
0.800 0.314 0.593 Tc
```

Output
VASP energy: -9.354 eV per atom
SG: R-3

Record 11
Here is a relaxed TiCrTc crystal from Alexandria via LeMat-Bulk. Energies are from PBE.

Structure (POSCAR):
```
TiCrTc
1.0
4.211 0.000 0.000
-2.106 3.647 0.000
0.000 0.000 2.732
Ti Cr Tc
1 1 1
direct
0.000 0.000 0.000 Ti
0.667 0.333 0.355 Cr
0.333 0.667 0.663 Tc
```

Output
Offset from the most stable computed form: 0 meV per atom
SG: P3m1

Record 12
Here is a relaxed Ti5CrTc6 crystal from Alexandria via LeMat-Bulk. Energies are from PBE.

Structure (POSCAR):
```
Ti5CrTc6
1.0
2.179 -6.538 0.000
2.179 6.538 0.000
0.000 0.000 6.166
Ti Cr Tc
5 1 6
direct
0.000 0.000 0.000 Ti
0.333 0.667 0.500 Ti
0.334 0.666 0.000 Ti
0.666 0.334 0.000 Ti
0.667 0.333 0.500 Ti
0.000 0.000 0.500 Cr
0.163 0.837 0.253 Tc
0.163 0.837 0.747 Tc
0.500 0.500 0.256 Tc
0.500 0.500 0.744 Tc
0.837 0.163 0.253 Tc
0.837 0.163 0.747 Tc
```

Output
VASP energy: -9.703 eV per atom
SG: Cmmm

Record 13
Here is a relaxed Ti5CrTc4 crystal from Alexandria via LeMat-Bulk. Energies are from PBE.

Structure (POSCAR):
```
Ti5CrTc4
1.0
3.102 0.000 0.000
0.000 3.102 0.000
0.000 0.000 15.433
Ti Cr Tc
5 1 4
direct
0.000 0.000 0.000 Ti
0.000 0.000 0.201 Ti
0.000 0.000 0.401 Ti
0.000 0.000 0.599 Ti
0.000 0.000 0.799 Ti
0.500 0.500 0.500 Cr
0.500 0.500 0.101 Tc
0.500 0.500 0.303 Tc
0.500 0.500 0.697 Tc
0.500 0.500 0.899 Tc
```

Output
VASP energy: -9.435 eV per atom
SG: P4/mmm

Record 14
Here is a relaxed Ti4CrTc5 crystal from Alexandria via LeMat-Bulk. Energies are from PBE.

Structure (POSCAR):
```
Ti4CrTc5
1.0
3.073 0.000 0.000
0.000 3.073 0.000
0.000 0.000 15.469
Ti Cr Tc
4 1 5
direct
0.000 0.000 0.101 Ti
0.000 0.000 0.302 Ti
0.000 0.000 0.698 Ti
0.000 0.000 0.899 Ti
0.000 0.000 0.500 Cr
0.500 0.500 0.000 Tc
0.500 0.500 0.204 Tc
0.500 0.500 0.407 Tc
0.500 0.500 0.593 Tc
0.500 0.500 0.796 Tc
```

Output
VASP energy: -9.702 eV per atom
SG: P4/mmm

Record 15
Here is a relaxed Ti3CrTc crystal from Alexandria via LeMat-Bulk. Energies are from PBE.

Structure (POSCAR):
```
Ti3CrTc
1.0
4.401 0.000 0.000
0.000 4.401 0.000
0.000 0.000 4.401
Ti Cr Tc
3 1 1
direct
0.000 0.000 0.500 Ti
0.000 0.500 0.000 Ti
0.500 0.000 0.000 Ti
0.000 0.000 0.000 Cr
0.500 0.500 0.500 Tc
```

Output
Offset from the most stable computed form: 0 meV per atom
SG: Pm-3m

Record 16
Here is a relaxed Ti6CrTc5 crystal from Alexandria via LeMat-Bulk. Energies are from PBE.

Structure (POSCAR):
```
Ti6CrTc5
1.0
-2.194 3.107 6.595
2.194 -3.107 6.595
2.194 3.107 -6.595
Ti Cr Tc
6 1 5
direct
0.078 0.331 0.747 Ti
0.244 0.000 0.244 Ti
0.416 0.669 0.747 Ti
0.584 0.331 0.253 Ti
0.756 0.000 0.756 Ti
0.922 0.669 0.253 Ti
0.500 0.500 0.000 Cr
0.000 0.500 0.500 Tc
0.168 0.168 0.000 Tc
0.338 0.838 0.500 Tc
0.662 0.162 0.500 Tc
0.832 0.832 0.000 Tc
```

Output
VASP energy: -9.483 eV per atom
SG: Immm

Record 17
Here is a relaxed TiCrTc crystal from Alexandria via LeMat-Bulk. Energies are from PBE.

Structure (POSCAR):
```
TiCrTc
1.0
4.464 0.000 0.000
-2.232 3.866 0.000
0.000 0.000 5.014
Ti Cr Tc
2 2 2
direct
0.333 0.667 0.250 Ti
0.667 0.333 0.750 Ti
0.333 0.667 0.750 Cr
0.667 0.333 0.250 Cr
0.000 0.000 0.000 Tc
0.000 0.000 0.500 Tc
```

Output
Offset from the most stable computed form: 295 meV per atom
SG: P6_3/mmc

Record 18
Here is a relaxed Ti2Cr2Tc crystal from Alexandria via LeMat-Bulk. Energies are from PBE.

Structure (POSCAR):
```
Ti2Cr2Tc
1.0
6.004 0.000 0.000
0.000 6.004 0.000
0.000 0.000 4.168
Ti Cr Tc
4 4 2
direct
0.176 0.324 0.000 Ti
0.324 0.824 0.000 Ti
0.676 0.176 0.000 Ti
0.824 0.676 0.000 Ti
0.129 0.629 0.500 Cr
0.371 0.129 0.500 Cr
0.629 0.871 0.500 Cr
0.871 0.371 0.500 Cr
0.000 0.000 0.500 Tc
0.500 0.500 0.500 Tc
```

Output
VASP energy: -8.976 eV per atom
SG: P4/mbm

Record 19
Here is a relaxed TiVCrTc crystal from Alexandria via LeMat-Bulk. Energies are from PBE.

Structure (POSCAR):
```
TiVCrTc
1.0
0.000 3.020 3.020
3.020 0.000 3.020
3.020 3.020 0.000
Ti V Cr Tc
1 1 1 1
direct
0.000 0.000 0.000 Ti
0.500 0.500 0.500 V
0.750 0.750 0.750 Cr
0.250 0.250 0.250 Tc
```

Output
VASP energy: -9.477 eV per atom
SG: F-43m

Record 20
Here is a relaxed TiV2CrTc crystal from Alexandria via LeMat-Bulk. Energies are from PBE.

Structure (POSCAR):
```
TiV2CrTc
1.0
4.485 0.000 0.000
0.000 4.485 0.000
0.000 0.000 4.524
Ti V Cr Tc
1 2 1 1
direct
0.000 0.000 0.000 Ti
0.000 0.500 0.500 V
0.500 0.000 0.500 V
0.500 0.500 0.000 Cr
0.500 0.500 0.500 Tc
```

Output
VASP energy: -8.150 eV per atom
SG: P4/mmm

Record 21
Here is a relaxed TiZnCrTc crystal from Alexandria via LeMat-Bulk. Energies are from PBE.

Structure (POSCAR):
```
TiZnCrTc
1.0
0.000 3.046 3.046
3.046 0.000 3.046
3.046 3.046 0.000
Ti Zn Cr Tc
1 1 1 1
direct
0.000 0.000 0.000 Ti
0.250 0.250 0.250 Zn
0.500 0.500 0.500 Cr
0.750 0.750 0.750 Tc
```

Output
VASP energy: -7.319 eV per atom
SG: F-43m

Record 22
Here is a relaxed TlCr2Tc crystal from Alexandria via LeMat-Bulk. Energies are from PBE.

Structure (POSCAR):
```
TlCr2Tc
1.0
2.967 0.000 0.000
0.000 2.967 0.000
0.000 0.000 7.252
Tl Cr Tc
1 2 1
direct
0.000 0.000 0.000 Tl
0.000 0.000 0.503 Cr
0.500 0.500 0.299 Cr
0.500 0.500 0.696 Tc
```

Output
VASP energy: -7.558 eV per atom
SG: P4mm

Record 23
Here is a relaxed TlCr2Tc crystal from Alexandria via LeMat-Bulk. Energies are from PBE.

Structure (POSCAR):
```
TlCr2Tc
1.0
2.913 0.000 0.000
0.000 3.682 0.000
-0.036 0.000 5.830
Tl Cr Tc
1 2 1
direct
0.000 0.000 0.000 Tl
0.518 0.500 0.303 Cr
0.960 0.000 0.487 Cr
0.508 0.500 0.681 Tc
```

Output
VASP energy: -7.481 eV per atom
SG: Pm

Record 24
Here is a relaxed TlCr2Tc crystal from Alexandria via LeMat-Bulk. Energies are from PBE.

Structure (POSCAR):
```
TlCr2Tc
1.0
4.547 -1.460 0.000
4.547 1.460 0.000
-0.926 0.000 4.794
Tl Cr Tc
1 2 1
direct
0.000 0.000 0.000 Tl
0.241 0.241 0.669 Cr
0.759 0.759 0.331 Cr
0.500 0.500 0.500 Tc
```

Output
VASP energy: -7.373 eV per atom
SG: C2/m

Record 25
Here is a relaxed TlCr2Tc crystal from Alexandria via LeMat-Bulk. Energies are from PBE.

Structure (POSCAR):
```
TlCr2Tc
1.0
3.888 0.000 0.000
0.000 3.968 0.000
0.000 0.000 4.116
Tl Cr Tc
1 2 1
direct
0.000 0.000 0.000 Tl
0.000 0.500 0.500 Cr
0.500 0.500 0.000 Cr
0.500 0.000 0.500 Tc
```

Output
VASP energy: -7.390 eV per atom
SG: Pmmm

Record 26
Here is a relaxed TlCr2Tc crystal from Alexandria via LeMat-Bulk. Energies are from PBE.

Structure (POSCAR):
```
TlCr2Tc
1.0
1.511 0.872 8.506
-1.511 0.872 8.506
0.000 -1.744 8.506
Tl Cr Tc
1 2 1
direct
0.000 0.000 0.000 Tl
0.239 0.239 0.239 Cr
0.761 0.761 0.761 Cr
0.500 0.500 0.500 Tc
```

Output
VASP energy: -7.359 eV per atom
SG: R-3m

Record 27
Here is a relaxed TlCr2Tc crystal from Alexandria via LeMat-Bulk. Energies are from PBE.

Structure (POSCAR):
```
TlCr2Tc
1.0
2.978 -3.477 0.000
2.978 3.477 0.000
0.000 0.000 3.083
Tl Cr Tc
1 2 1
direct
0.000 0.000 0.000 Tl
0.000 0.500 0.500 Cr
0.500 0.000 0.500 Cr
0.500 0.500 0.000 Tc
```

Output
VASP energy: -7.331 eV per atom
SG: Cmmm

no.,calculated density (g cm⁻³)
1,8.79
2,10.03
3,8.96
4,8.90
5,6.83
6,10.00
7,10.16
8,11.64
9,4.86
10,8.05
11,7.83
12,8.31
13,7.64
14,8.34
15,5.72
16,7.66
17,7.59
18,6.58
19,7.50
20,5.47
21,7.74
22,10.57
23,10.79
24,10.60
25,10.63
26,10.04
27,10.57